(1)
Here is an optimized crystal structure of BaPr2UN4 from the Alexandria database. Energies are from GGA-PBE.

The space group is Imma (No. 74) and the conventional cell measures 7.2931, 7.3728 and 10.6256 Å, with angles of 90.00, 90.00 and 90.00 degrees. The distinct sites, in fractional coordinates, are Ba at (0.2500, 0.2500, 0.2500), Pr at (0.0000, 0.0000, 0.0000), Pr at (0.2500, 0.2500, 0.7500), U at (0.0000, 0.0000, 0.5000), N at (0.0000, 0.0196, 0.6977) and N at (0.2225, 0.2500, 0.5096).

For the calculated volume, the calculation gives 17.9 A^3/atom. The uncorrected formation energy is -1057 meV/atom.



(2)
Here is an optimized crystal structure of BaPrVN3 from the Alexandria database. Energies are from GGA-PBE.

The space group is C2/m (No. 12) and the conventional cell measures 13.6399, 3.9275 and 7.8369 Å, with angles of 90.00, 106.20 and 90.00 degrees. The distinct sites, in fractional coordinates, are Ba at (0.1422, 0.0000, 0.0725), Pr at (0.1548, 0.0000, 0.5777), V at (0.0007, 0.5000, 0.3073), N at (0.0031, 0.0000, 0.3161), N at (0.1418, 0.5000, 0.8013) and N at (0.1493, 0.5000, 0.3422).

For the calculated volume, the calculation gives 16.8 A^3/atom. The uncorrected formation energy is -862 meV/atom.



(3)
Here is an optimized crystal structure of BaPr2VN4 from the Alexandria database. Energies are from GGA-PBE.

The space group is Cmcm (No. 63) and the conventional cell measures 3.5703, 12.7716 and 12.3035 Å, with angles of 90.00, 90.00 and 90.00 degrees. The distinct sites, in fractional coordinates, are Ba at (0.0000, 0.0881, 0.2500), Pr at (0.0000, 0.3699, 0.0410), V at (0.0000, 0.1803, 0.7500), N at (0.0000, 0.0000, 0.0000), N at (0.0000, 0.2588, 0.6296) and N at (0.0000, 0.3917, 0.2500).

For the calculated volume, the calculation gives 17.5 A^3/atom. The uncorrected formation energy is -1118 meV/atom.



(4)
Here is an optimized crystal structure of BaPrWN4 from the Alexandria database. Energies are from GGA-PBE.

The space group is I4mm (No. 107) and the conventional cell measures 3.9926, 3.9926 and 13.9506 Å, with angles of 90.00, 90.00 and 90.00 degrees. The distinct sites, in fractional coordinates, are Ba at (0.0000, 0.0000, 0.0000), Pr at (0.0000, 0.0000, 0.7151), W at (0.0000, 0.0000, 0.3566), N at (0.0000, 0.0000, 0.1826), N at (0.0000, 0.0000, 0.4895) and N at (0.0000, 0.5000, 0.3335).

For the calculated volume, the calculation gives 15.9 A^3/atom. The uncorrected formation energy is -662 meV/atom.



(5)
Here is an optimized crystal structure of Ba3PrW2N6 from the Alexandria database. Energies are from GGA-PBE.

The space group is P-3m1 (No. 164) and the conventional cell measures 6.3646, 6.3646 and 7.5380 Å, with angles of 90.00, 90.00 and 120.00 degrees. The distinct sites, in fractional coordinates, are Ba at (0.0000, 0.0000, 0.0000), Ba at (0.3333, 0.6667, 0.6886), Pr at (0.0000, 0.0000, 0.5000), W at (0.3333, 0.6667, 0.2182) and N at (0.1734, 0.3467, 0.2886).

For the calculated volume, the calculation gives 22.0 A^3/atom. The uncorrected formation energy is -792 meV/atom.



(6)
Here is an optimized crystal structure of Ba2PrW2N6 from the Alexandria database. Energies are from GGA-PBE.

The space group is C2/m (No. 12) and the conventional cell measures 11.0528, 6.3191 and 7.3435 Å, with angles of 90.00, 122.14 and 90.00 degrees. The distinct sites, in fractional coordinates, are Ba at (0.2088, 0.0000, 0.1760), Pr at (0.0000, 0.0000, 0.5000), W at (0.0373, 0.5000, 0.2125), N at (0.0569, 0.2601, 0.7872) and N at (0.2359, 0.5000, 0.3870).

For the calculated volume, the calculation gives 19.7 A^3/atom. The uncorrected formation energy is -703 meV/atom.



(7)
Here is an optimized crystal structure of BaPrZnN2 from the Alexandria database. Energies are from GGA-PBE.

The space group is P2/c (No. 13) and the conventional cell measures 5.9401, 5.5406 and 7.1020 Å, with angles of 90.00, 90.01 and 90.00 degrees. The distinct sites, in fractional coordinates, are Ba at (0.0000, 0.0006, 0.2500), Pr at (0.5000, 0.5001, 0.2500), Zn at (0.5000, 0.0000, 0.0000) and N at (0.3044, 0.2646, 0.0000).

For the calculated volume, the calculation gives 23.4 A^3/atom. The uncorrected formation energy is -461 meV/atom.



(8)
Here is an optimized crystal structure of Ba3PtN from the Alexandria database. Energies are from GGA-PBE.

The space group is P2_1/m (No. 11) and the conventional cell measures 7.6894, 4.7252 and 11.1991 Å, with angles of 90.00, 104.68 and 90.00 degrees. The distinct sites, in fractional coordinates, are Ba at (0.1518, 0.2500, 0.1016), Ba at (0.2597, 0.2500, 0.7558), Ba at (0.2741, 0.7500, 0.3854), Pt at (0.4886, 0.7500, 0.6790) and N at (0.0184, 0.7500, 0.1618).

For the calculated volume, the calculation gives 39.4 A^3/atom. The uncorrected formation energy is -465 meV/atom. Its energy above the lowest structure with this stoichiometry is 0 meV/atom.



(9)
Here is an optimized crystal structure of BaPtN from the Alexandria database. Energies are from GGA-PBE.

The space group is Pmma (No. 51) and the conventional cell measures 7.4055, 4.4554 and 4.7521 Å, with angles of 90.00, 90.00 and 90.00 degrees. The distinct sites, in fractional coordinates, are Ba at (0.2500, 0.0000, 0.1403), Pt at (0.2500, 0.5000, 0.5907) and N at (0.0000, 0.5000, 0.5000).

For the calculated volume, the calculation gives 26.1 A^3/atom. The uncorrected formation energy is -195 meV/atom.



(10)
Here is an optimized crystal structure of BaPtN2 from the Alexandria database. Energies are from GGA-PBE.

The space group is R-3m (No. 166, hexagonal axes) and the conventional cell measures 4.5670, 4.5670 and 16.9453 Å, with angles of 90.00, 90.00 and 120.00 degrees. The distinct sites, in fractional coordinates, are Ba at (0.0000, 0.0000, 0.0000), Pt at (0.0000, 0.0000, 0.5000) and N at (0.0000, 0.0000, 0.3950).

For the calculated volume, the calculation gives 25.5 A^3/atom. The uncorrected formation energy is 92 meV/atom. Its energy above the lowest structure with this stoichiometry is 0 meV/atom.



(11)
Here is an optimized crystal structure of Ba6Pt2N from the Alexandria database. Energies are from GGA-PBE.

The space group is P2_1/c (No. 14) and the conventional cell measures 7.4953, 8.3647 and 12.9902 Å, with angles of 90.00, 123.04 and 90.00 degrees. The distinct sites, in fractional coordinates, are Ba at (0.0934, 0.0480, 0.2318), Ba at (0.2315, 0.7008, 0.0713), Ba at (0.3631, 0.1610, 0.0627), Pt at (0.3049, 0.1079, 0.7615) and N at (0.0000, 0.0000, 0.0000).

For the calculated volume, the calculation gives 37.9 A^3/atom. The uncorrected formation energy is -498 meV/atom.



(12)
Here is an optimized crystal structure of Ba8Pt2N from the Alexandria database. Energies are from GGA-PBE.

The space group is C2/m (No. 12) and the conventional cell measures 17.2260, 9.9370 and 6.5414 Å, with angles of 90.00, 92.19 and 90.00 degrees. The distinct sites, in fractional coordinates, are Ba at (0.0716, 0.1884, 0.2174), Ba at (0.1180, 0.5000, 0.7207), Ba at (0.1905, 0.0000, 0.7653), Pt at (0.2103, 0.0000, 0.2751) and N at (0.0000, 0.0000, 0.0000).

For the calculated volume, the calculation gives 50.9 A^3/atom. The uncorrected formation energy is -226 meV/atom.



Among the records above, which one has the highest calculated volume?
Ba8Pt2N